No. 1
Sr3BS: relaxed, GGA-PBE.

The structure in CIF format:
```
data_Sr3BS
_symmetry_space_group_name_H-M 'P m -3 m'
_symmetry_Int_Tables_number 221
_symmetry_space_group_name_Hall '-P 4 2 3'
_cell_length_a 5.4639
_cell_length_b 5.4639
_cell_length_c 5.4639
_cell_angle_alpha 90.00
_cell_angle_beta 90.00
_cell_angle_gamma 90.00
loop_
_atom_site_label
_atom_site_fract_x
_atom_site_fract_y
_atom_site_fract_z
_atom_site_occupancy
Sr1 0.0000 0.0000 0.5000 1
B1 0.0000 0.0000 0.0000 1
S1 0.5000 0.5000 0.5000 1
```

Output
E_tot = -3.323 eV/atom
Crystal system = cubic
M_tot = 0.00 μB/cell
Energy above the lowest structure with this stoichiometry = 0.0 meV/atom



No. 2
SrBS3: relaxed, GGA-PBE.

The structure in CIF format:
```
data_SrBS3
_symmetry_space_group_name_H-M 'P m -3 m'
_symmetry_Int_Tables_number 221
_symmetry_space_group_name_Hall '-P 4 2 3'
_cell_length_a 4.4519
_cell_length_b 4.4519
_cell_length_c 4.4519
_cell_angle_alpha 90.00
_cell_angle_beta 90.00
_cell_angle_gamma 90.00
loop_
_atom_site_label
_atom_site_fract_x
_atom_site_fract_y
_atom_site_fract_z
_atom_site_occupancy
Sr1 0.0000 0.0000 0.0000 1
B1 0.5000 0.5000 0.5000 1
S1 0.0000 0.5000 0.5000 1
```

Output
E_tot = -4.429 eV/atom
Crystal system = cubic
M_tot = 0.00 μB/cell
Energy above the lowest structure with this stoichiometry = 609.5 meV/atom



No. 3
SrTmBS4: relaxed, GGA-PBE.

The structure in CIF format:
```
data_SrTmBS4
_symmetry_space_group_name_H-M 'P 1 21/m 1'
_symmetry_Int_Tables_number 11
_cell_length_a 6.1329
_cell_length_b 6.2933
_cell_length_c 7.9377
_cell_angle_alpha 90.00
_cell_angle_beta 107.31
_cell_angle_gamma 90.00
loop_
_symmetry_equiv_pos_as_xyz
'x,y,z'
'-x,-y,-z'
'-x,y+1/2,-z'
'x,-y+1/2,z'
loop_
_atom_site_label
_atom_site_fract_x
_atom_site_fract_y
_atom_site_fract_z
_atom_site_occupancy
Sr1 0.2223 0.2500 0.4294 1
Tm1 0.2700 0.2500 0.9466 1
B1 0.2810 0.7500 0.1853 1
S1 0.0927 0.7500 0.3465 1
S2 0.1010 0.7500 0.9383 1
S3 0.4840 0.5090 0.2303 1
```

Output
E_tot = -5.689 eV/atom
Crystal system = monoclinic
M_tot = 0.00 μB/cell



No. 4
TaBS3: relaxed, GGA-PBE.

The structure in CIF format:
```
data_TaBS3
_symmetry_space_group_name_H-M 'C m c 21'
_symmetry_Int_Tables_number 36
_cell_length_a 3.1398
_cell_length_b 19.3399
_cell_length_c 6.6603
_cell_angle_alpha 90.00
_cell_angle_beta 90.00
_cell_angle_gamma 90.00
loop_
_symmetry_equiv_pos_as_xyz
'x,y,z'
'-x,-y,z+1/2'
'-x,y,z'
'x,-y,z+1/2'
'x+1/2,y+1/2,z'
'-x+1/2,-y+1/2,z+1/2'
'-x+1/2,y+1/2,z'
'x+1/2,-y+1/2,z+1/2'
loop_
_atom_site_label
_atom_site_fract_x
_atom_site_fract_y
_atom_site_fract_z
_atom_site_occupancy
Ta1 0.0000 0.1640 0.0000 1
B1 0.0000 0.3510 0.2152 1
S1 0.0000 0.0961 0.6763 1
S2 0.0000 0.2590 0.2735 1
S3 0.0000 0.3998 0.6949 1
```

Output
E_tot = -6.688 eV/atom
Crystal system = orthorhombic
M_tot = 0.00 μB/cell
Energy above the lowest structure with this stoichiometry = 0.0 meV/atom